# 1
{
  "formula": "BaZrTe2",
  "functional": "PBE-GGA",
  "state": "optimized geometry",
  "lattice": [[0.0000, 3.9267, 3.9267], [3.9267, 0.0000, 3.9267], [3.9267, 3.9267, 0.0000]],
  "species": ["Ba", "Zr", "Te", "Te"],
  "fractional_positions": [[0.0000, 0.0000, 0.0000], [0.5000, 0.5000, 0.5000], [0.2500, 0.2500, 0.2500], [0.7500, 0.7500, 0.7500]],
  "e_form_raw_kj_per_mol_fu": -316.6,
  "e_above_lowest_polymorph_mev_per_atom": 270
}

=====

# 2
{
  "formula": "Pm2SmTh",
  "functional": "PBE-GGA",
  "state": "optimized geometry",
  "lattice": [[5.1204, 0.0000, 0.0000], [0.0000, 5.1204, 0.0000], [0.0000, 0.0000, 5.1202]],
  "species": ["Pm", "Pm", "Sm", "Th"],
  "fractional_positions": [[0.0000, 0.5000, 0.0000], [0.5000, 0.0000, 0.0000], [0.0000, 0.0000, 0.5000], [0.5000, 0.5000, 0.5000]],
  "e_above_lowest_polymorph_mev_per_atom": 33
}

=====

# 3
{
  "formula": "Pr5Nd2Er5",
  "functional": "PBE-GGA",
  "state": "optimized geometry",
  "lattice": [[7.6921, -2.5510, 0.0000], [7.6921, 2.5510, 0.0000], [-5.1596, 0.0000, 10.2715]],
  "species": ["Pr", "Pr", "Pr", "Pr", "Pr", "Nd", "Nd", "Er", "Er", "Er", "Er", "Er"],
  "fractional_positions": [[0.0000, 0.0000, 0.0000], [0.1647, 0.1647, 0.4984], [0.2490, 0.2490, 0.2469], [0.7510, 0.7510, 0.7531], [0.8353, 0.8353, 0.5016], [0.0827, 0.0827, 0.7523], [0.9173, 0.9173, 0.2477], [0.3328, 0.3328, 0.9994], [0.4179, 0.4179, 0.7515], [0.5000, 0.5000, 0.5000], [0.5821, 0.5821, 0.2485], [0.6672, 0.6672, 0.0006]],
  "total_energy_ev_per_cell": -56.023
}

=====

# 4
{
  "formula": "HgAsN2F",
  "functional": "PBE-GGA",
  "state": "optimized geometry",
  "lattice": [[3.9166, 0.0000, 0.0000], [0.0000, 3.9166, 0.0000], [0.0000, 0.0000, 4.0835]],
  "species": ["Hg", "As", "N", "N", "F"],
  "fractional_positions": [[0.0000, 0.0000, 0.0000], [0.5000, 0.5000, 0.5000], [0.0000, 0.5000, 0.5000], [0.5000, 0.0000, 0.5000], [0.5000, 0.5000, 0.0000]],
  "e_form_raw_kj_per_mol_fu": 331.5,
  "e_above_lowest_polymorph_mev_per_atom": 0
}

=====

# 5
{
  "formula": "K2ScN",
  "functional": "PBE-GGA",
  "state": "optimized geometry",
  "lattice": [[-6.1015, 6.1015, 2.0574], [6.1015, -6.1015, 2.0574], [6.1015, 6.1015, -2.0574]],
  "species": ["K", "K", "K", "K", "Sc", "Sc", "N", "N"],
  "fractional_positions": [[0.3750, 0.1923, 0.3173], [0.8077, 0.1250, 0.1827], [0.8750, 0.0577, 0.6827], [0.9423, 0.6250, 0.8173], [0.2500, 0.7500, 0.5000], [0.5000, 0.5000, 0.0000], [0.0000, 0.0000, 0.0000], [0.7500, 0.2500, 0.5000]],
  "e_form_raw_kj_per_mol_fu": -6.7
}

=====

# 6
{
  "formula": "Rb4SmNp3S8",
  "functional": "PBE-GGA",
  "state": "optimized geometry",
  "lattice": [[4.1411, 2.3909, 7.6779], [-4.1411, 2.3909, 7.6779], [0.0000, -4.7818, 7.6779]],
  "species": ["Rb", "Rb", "Rb", "Rb", "Sm", "Np", "Np", "Np", "S", "S", "S", "S", "S", "S", "S", "S"],
  "fractional_positions": [[0.0000, 0.0000, 0.0000], [0.0000, 0.5000, 0.5000], [0.5000, 0.0000, 0.5000], [0.5000, 0.5000, 0.0000], [0.5000, 0.5000, 0.5000], [0.0000, 0.0000, 0.5000], [0.0000, 0.5000, 0.0000], [0.5000, 0.0000, 0.0000], [0.2277, 0.7327, 0.7327], [0.2292, 0.2292, 0.2292], [0.2673, 0.2673, 0.7723], [0.2673, 0.7723, 0.2673], [0.7327, 0.2277, 0.7327], [0.7327, 0.7327, 0.2277], [0.7708, 0.7708, 0.7708], [0.7723, 0.2673, 0.2673]],
  "e_form_raw_kj_per_mol_fu": -2281.0
}

=====

# 7
{
  "formula": "CsTlCdAs",
  "functional": "PBE-GGA",
  "state": "optimized geometry",
  "lattice": [[4.5233, 0.0000, 0.0000], [0.0000, 4.5233, 0.0000], [0.0000, 0.0000, 14.8871]],
  "species": ["Cs", "Cs", "Tl", "Tl", "Cd", "Cd", "As", "As"],
  "fractional_positions": [[0.2500, 0.2500, 0.2304], [0.7500, 0.7500, 0.7696], [0.2500, 0.7500, 0.5000], [0.7500, 0.2500, 0.5000], [0.2500, 0.7500, 0.0000], [0.7500, 0.2500, 0.0000], [0.2500, 0.2500, 0.8881], [0.7500, 0.7500, 0.1119]],
  "total_energy_ev_per_cell": -19.491
}

=====

# 8
{
  "formula": "Mg14VFe",
  "functional": "PBE-GGA",
  "state": "optimized geometry",
  "lattice": [[10.0183, 0.0000, 0.0000], [0.0000, 3.1276, 5.3885], [0.0000, -3.1276, 5.3885]],
  "species": ["Mg", "Mg", "Mg", "Mg", "Mg", "Mg", "Mg", "Mg", "Mg", "Mg", "Mg", "Mg", "Mg", "Mg", "V", "Fe"],
  "fractional_positions": [[0.0000, 0.0000, 0.0000], [0.0000, 0.4965, 0.9984], [0.0000, 0.4990, 0.4990], [0.0000, 0.9984, 0.4965], [0.2537, 0.8333, 0.8333], [0.2606, 0.3345, 0.3345], [0.2685, 0.3290, 0.8228], [0.2685, 0.8228, 0.3290], [0.5000, 0.5020, 0.9978], [0.5000, 0.9978, 0.5020], [0.7315, 0.3290, 0.8228], [0.7315, 0.8228, 0.3290], [0.7394, 0.3345, 0.3345], [0.7463, 0.8333, 0.8333], [0.5000, 0.9964, 0.9964], [0.5000, 0.4952, 0.4952]],
  "total_energy_ev_per_cell": -37.616
}

=====

# 9
{
  "formula": "Li2SnP5O15",
  "functional": "PBE-GGA",
  "state": "optimized geometry",
  "lattice": [[5.4031, 0.0000, 0.0000], [0.0000, 14.9383, 0.0000], [-1.3365, 0.0000, 8.1128]],
  "species": ["Li", "Li", "Li", "Li", "Sn", "Sn", "P", "P", "P", "P", "P", "P", "P", "P", "P", "P", "O", "O", "O", "O", "O", "O", "O", "O", "O", "O", "O", "O", "O", "O", "O", "O", "O", "O", "O", "O", "O", "O", "O", "O", "O", "O", "O", "O", "O", "O"],
  "fractional_positions": [[0.1357, 0.1556, 0.1515], [0.1357, 0.3444, 0.1515], [0.8643, 0.6556, 0.8485], [0.8643, 0.8444, 0.8485], [0.5000, 0.0000, 0.5000], [0.5000, 0.5000, 0.5000], [0.0147, 0.1488, 0.5150], [0.0147, 0.3512, 0.5150], [0.3303, 0.0976, 0.8406], [0.3303, 0.4024, 0.8406], [0.4041, 0.7500, 0.9777], [0.5959, 0.2500, 0.0223], [0.6697, 0.5976, 0.1594], [0.6697, 0.9024, 0.1594], [0.9853, 0.6488, 0.4850], [0.9853, 0.8512, 0.4850], [0.0240, 0.2500, 0.4517], [0.1333, 0.7500, 0.9005], [0.1596, 0.1570, 0.6975], [0.1596, 0.3430, 0.6975], [0.1628, 0.0953, 0.4050], [0.1628, 0.4047, 0.4050], [0.1853, 0.0793, 0.9745], [0.1853, 0.4207, 0.9745], [0.2545, 0.6223, 0.4860], [0.2545, 0.8777, 0.4860], [0.3954, 0.2500, 0.1291], [0.4328, 0.0189, 0.7548], [0.4328, 0.4811, 0.7548], [0.4402, 0.6659, 0.1054], [0.4402, 0.8341, 0.1054], [0.5598, 0.1659, 0.8946], [0.5598, 0.3341, 0.8946], [0.5672, 0.5189, 0.2452], [0.5672, 0.9811, 0.2452], [0.6046, 0.7500, 0.8709], [0.7455, 0.1223, 0.5140], [0.7455, 0.3777, 0.5140], [0.8147, 0.5793, 0.0255], [0.8147, 0.9207, 0.0255], [0.8372, 0.5953, 0.5950], [0.8372, 0.9047, 0.5950], [0.8404, 0.6570, 0.3025], [0.8404, 0.8430, 0.3025], [0.8667, 0.2500, 0.0995], [0.9760, 0.7500, 0.5483]],
  "e_form_raw_kj_per_mol_fu": -4596.0
}

=====

# 10
{
  "formula": "BaZrHg",
  "functional": "PBE-GGA",
  "state": "optimized geometry",
  "lattice": [[3.6536, 0.0000, 0.0000], [-1.8268, 3.1641, 0.0000], [0.0000, 0.0000, 8.0560]],
  "species": ["Ba", "Zr", "Hg"],
  "fractional_positions": [[0.0000, 0.0000, 0.0000], [0.3333, 0.6667, 0.6225], [0.6667, 0.3333, 0.3544]],
  "e_above_lowest_polymorph_mev_per_atom": 322
}

=====

# 11
{
  "formula": "CeSm7Tl4",
  "functional": "PBE-GGA",
  "state": "optimized geometry",
  "lattice": [[7.5616, -2.9131, 0.0000], [7.5616, 2.9131, 0.0000], [-5.2030, 0.0000, 8.5332]],
  "species": ["Ce", "Sm", "Sm", "Sm", "Sm", "Sm", "Sm", "Sm", "Tl", "Tl", "Tl", "Tl"],
  "fractional_positions": [[0.0000, 0.0000, 0.0000], [0.0679, 0.0679, 0.4048], [0.2000, 0.2000, 0.8809], [0.2557, 0.2557, 0.3025], [0.5000, 0.5000, 0.0000], [0.7443, 0.7443, 0.6975], [0.8000, 0.8000, 0.1191], [0.9321, 0.9321, 0.5952], [0.3160, 0.3160, 0.6604], [0.4500, 0.4500, 0.2818], [0.5500, 0.5500, 0.7182], [0.6840, 0.6840, 0.3396]],
  "total_energy_ev_per_cell": -48.977
}

=====

# 12
{
  "formula": "Rb3Li2PaF9",
  "functional": "PBE-GGA",
  "state": "optimized geometry",
  "lattice": [[6.0910, 0.0000, 0.0000], [-3.0455, 5.2750, 0.0000], [0.0000, 0.0000, 8.0457]],
  "species": ["Rb", "Rb", "Rb", "Li", "Li", "Pa", "F", "F", "F", "F", "F", "F", "F", "F", "F"],
  "fractional_positions": [[0.0000, 0.0000, 0.0000], [0.3333, 0.6667, 0.7288], [0.6667, 0.3333, 0.2712], [0.3333, 0.6667, 0.1094], [0.6667, 0.3333, 0.8906], [0.0000, 0.0000, 0.5000], [0.0000, 0.5000, 0.0000], [0.1660, 0.3320, 0.3347], [0.1660, 0.8340, 0.3347], [0.3320, 0.1660, 0.6653], [0.5000, 0.0000, 0.0000], [0.5000, 0.5000, 0.0000], [0.6680, 0.8340, 0.3347], [0.8340, 0.1660, 0.6653], [0.8340, 0.6680, 0.6653]],
  "e_form_raw_kj_per_mol_fu": -4550.9
}

=====

# 13
{
  "formula": "Ce6TlGe",
  "functional": "PBE-GGA",
  "state": "optimized geometry",
  "lattice": [[3.8087, -5.3249, 0.0000], [3.8087, 5.3249, 0.0000], [-3.5686, 0.0000, 5.2592]],
  "species": ["Ce", "Ce", "Ce", "Ce", "Ce", "Ce", "Tl", "Ge"],
  "fractional_positions": [[0.0569, 0.5687, 0.7654], [0.2372, 0.2372, 0.7754], [0.4313, 0.9431, 0.2346], [0.5687, 0.0569, 0.7654], [0.7628, 0.7628, 0.2246], [0.9431, 0.4313, 0.2346], [0.5000, 0.5000, 0.5000], [0.0000, 0.0000, 0.0000]],
  "e_above_lowest_polymorph_mev_per_atom": 254
}

=====

# 14
{
  "formula": "VZnCrTc",
  "functional": "PBE-GGA",
  "state": "optimized geometry",
  "lattice": [[0.0000, 3.0152, 3.0152], [3.0152, 0.0000, 3.0152], [3.0152, 3.0152, 0.0000]],
  "species": ["V", "Zn", "Cr", "Tc"],
  "fractional_positions": [[0.0000, 0.0000, 0.0000], [0.5000, 0.5000, 0.5000], [0.2500, 0.2500, 0.2500], [0.7500, 0.7500, 0.7500]],
  "total_energy_ev_per_cell": -30.133
}

=====

# 15
{
  "formula": "Tb2Ce2Tm7",
  "functional": "PBE-GGA",
  "state": "optimized geometry",
  "lattice": [[5.6376, -5.6394, 0.0000], [5.6376, 5.6394, 0.0000], [-2.1906, 0.0000, 5.4066]],
  "species": ["Tb", "Tb", "Ce", "Ce", "Tm", "Tm", "Tm", "Tm", "Tm", "Tm", "Tm"],
  "fractional_positions": [[0.2142, 0.7858, 0.0000], [0.7858, 0.2142, 0.0000], [0.4370, 0.4370, 0.6767], [0.5630, 0.5630, 0.3233], [0.0000, 0.0000, 0.5000], [0.0549, 0.5887, 0.3210], [0.2260, 0.2260, 0.0897], [0.4113, 0.9451, 0.6790], [0.5887, 0.0549, 0.3210], [0.7740, 0.7740, 0.9103], [0.9451, 0.4113, 0.6790]],
  "total_energy_ev_per_cell": -50.165
}

=====

# 16
{
  "formula": "DyTlZn4",
  "functional": "PBE-GGA",
  "state": "optimized geometry",
  "lattice": [[0.0000, 3.8977, 3.8977], [3.8977, 0.0000, 3.8977], [3.8977, 3.8977, 0.0000]],
  "species": ["Dy", "Tl", "Zn", "Zn", "Zn", "Zn"],
  "fractional_positions": [[0.0000, 0.0000, 0.0000], [0.7500, 0.7500, 0.7500], [0.3739, 0.3739, 0.3739], [0.3739, 0.3739, 0.8783], [0.3739, 0.8783, 0.3739], [0.8783, 0.3739, 0.3739]],
  "total_energy_ev_per_cell": -12.662
}

=====

# 17
{
  "formula": "Tm3MgCd3",
  "functional": "PBE-GGA",
  "state": "optimized geometry",
  "lattice": [[3.5775, -5.1966, 0.0000], [3.5775, 5.1966, 0.0000], [-0.5425, 0.0000, 9.8292]],
  "species": ["Tm", "Tm", "Tm", "Tm", "Tm", "Tm", "Mg", "Mg", "Cd", "Cd", "Cd", "Cd", "Cd", "Cd"],
  "fractional_positions": [[0.1737, 0.8263, 0.0000], [0.2337, 0.7663, 0.5000], [0.4260, 0.4260, 0.1723], [0.5740, 0.5740, 0.8277], [0.7663, 0.2337, 0.5000], [0.8263, 0.1737, 0.0000], [0.2875, 0.2875, 0.5318], [0.7125, 0.7125, 0.4682], [0.0281, 0.0281, 0.2728], [0.0519, 0.4837, 0.7572], [0.4837, 0.0519, 0.7572], [0.5163, 0.9481, 0.2428], [0.9481, 0.5163, 0.2428], [0.9719, 0.9719, 0.7272]],
  "e_above_lowest_polymorph_mev_per_atom": 0
}

=====

# 18
{
  "formula": "Sb2TeIrAu",
  "functional": "PBE-GGA",
  "state": "optimized geometry",
  "lattice": [[5.0475, 0.0000, 0.0000], [0.0000, 5.0475, 0.0000], [0.0000, 0.0000, 5.5780]],
  "species": ["Sb", "Sb", "Te", "Ir", "Au"],
  "fractional_positions": [[0.0000, 0.5000, 0.0000], [0.5000, 0.0000, 0.0000], [0.0000, 0.0000, 0.5000], [0.0000, 0.0000, 0.0000], [0.5000, 0.5000, 0.5000]],
  "e_form_raw_kj_per_mol_fu": 282.6,
  "e_above_lowest_polymorph_mev_per_atom": 0
}

=====

# 19
{
  "formula": "Li3PdSe",
  "functional": "PBE-GGA",
  "state": "optimized geometry",
  "lattice": [[4.7056, 0.0000, 0.0000], [0.0000, 4.7056, 0.0000], [0.0000, 0.0000, 4.7056]],
  "species": ["Li", "Li", "Li", "Pd", "Se"],
  "fractional_positions": [[0.0000, 0.0000, 0.5000], [0.0000, 0.5000, 0.0000], [0.5000, 0.0000, 0.0000], [0.5000, 0.5000, 0.5000], [0.0000, 0.0000, 0.0000]],
  "e_form_raw_kj_per_mol_fu": -183.7,
  "e_above_lowest_polymorph_mev_per_atom": 0
}

=====

# 20
{
  "formula": "Ho4ZnRu3",
  "functional": "PBE-GGA",
  "state": "optimized geometry",
  "lattice": [[4.8230, 0.0000, 0.0000], [0.0000, 4.8230, 0.0000], [0.0000, 0.0000, 6.9005]],
  "species": ["Ho", "Ho", "Ho", "Ho", "Zn", "Ru", "Ru", "Ru"],
  "fractional_positions": [[0.0000, 0.5000, 0.2409], [0.0000, 0.5000, 0.7591], [0.5000, 0.0000, 0.2409], [0.5000, 0.0000, 0.7591], [0.0000, 0.0000, 0.5000], [0.0000, 0.0000, 0.0000], [0.5000, 0.5000, 0.0000], [0.5000, 0.5000, 0.5000]],
  "total_energy_ev_per_cell": -50.665
}

=====

Taking the records one at a time from the top gives mass density values of 6.63; 8.32; 7.54; 8.55; 1.49; 5.31; 5.72; 2.20; 2.68; 7.65; 8.88; 4.32; 8.70; 8.07; 8.60; 8.81; 7.89; 8.88; 3.29; 10.64 g cm⁻³.